VASP calculation (PBE+U) on a geometry-optimized VPbF2 structure.

The structure in POSCAR format:
```
VPbF2
1.0
-2.985 -0.361 -4.646
-1.405 -5.191 1.306
-6.770 -0.836 1.119
F V Pb
4 2 2
Direct
0.875 0.692 0.750 F
0.442 0.125 0.250 F
0.308 0.625 0.250 F
0.375 0.558 0.750 F
0.250 0.750 0.500 V
0.500 0.500 0.000 V
0.750 0.250 0.500 Pb
0.000 0.000 0.000 Pb
```

Results
total DFT energy (no corrections): -5.088 eV/atom